(1)
Entry from the Alexandria database: a relaxed BaEu2Ir crystal (PBE).

Structure (CIF):
```
data_BaEu2Ir
_cell_length_a 3.667
_cell_length_b 3.667
_cell_length_c 10.335
_cell_angle_alpha 90.00
_cell_angle_beta 90.00
_cell_angle_gamma 90.00
_space_group_name_H-M_alt 'P 4/m m m'
_space_group_IT_number 123
_space_group_name_Hall '-P 4 2'
loop_
_atom_site_label
_atom_site_type_symbol
_atom_site_fract_x
_atom_site_fract_y
_atom_site_fract_z
_atom_site_occupancy
Ba1 Ba 0.000 0.000 0.000 1
Eu1 Eu 0.500 0.500 0.342 1
Ir1 Ir 0.000 0.000 0.500 1
```

Values from the calculation:
Mass density, g/cm³: 7.6
ΔE to the lowest computed polymorph, meV per atom: 0.0
Uncorrected energy, eV/atom: -7.96
Energy of formation from the pure elements, meV/atom: -127

***

(2)
Entry from the Alexandria database: a relaxed BaEuIr4 crystal (PBE).

Structure (CIF):
```
data_BaEuIr4
_cell_length_a 7.810
_cell_length_b 7.810
_cell_length_c 7.810
_cell_angle_alpha 90.00
_cell_angle_beta 90.00
_cell_angle_gamma 90.00
_space_group_name_H-M_alt 'F -4 3 m'
_space_group_IT_number 216
_space_group_name_Hall 'F -4 2 3'
loop_
_atom_site_label
_atom_site_type_symbol
_atom_site_fract_x
_atom_site_fract_y
_atom_site_fract_z
_atom_site_occupancy
Ba1 Ba 0.000 0.000 0.000 1
Eu1 Eu 0.250 0.250 0.750 1
Ir1 Ir 0.125 0.125 0.375 1
```

Values from the calculation:
Mass density, g/cm³: 14.8
Uncorrected energy, eV/atom: -8.14
Energy of formation from the pure elements, meV/atom: -204

***

(3)
Entry from the Alexandria database: a relaxed Ba3EuIr crystal (PBE).

Structure (CIF):
```
data_Ba3EuIr
_cell_length_a 6.245
_cell_length_b 6.245
_cell_length_c 6.245
_cell_angle_alpha 90.00
_cell_angle_beta 90.00
_cell_angle_gamma 90.00
_space_group_name_H-M_alt 'P m -3 m'
_space_group_IT_number 221
_space_group_name_Hall '-P 4 2 3'
loop_
_atom_site_label
_atom_site_type_symbol
_atom_site_fract_x
_atom_site_fract_y
_atom_site_fract_z
_atom_site_occupancy
Ba1 Ba 0.000 0.000 0.500 1
Eu1 Eu 0.500 0.500 0.500 1
Ir1 Ir 0.000 0.000 0.000 1
```

Values from the calculation:
Mass density, g/cm³: 5.2
Uncorrected energy, eV/atom: -5.00
Energy of formation from the pure elements, meV/atom: -15

***

(4)
Entry from the Alexandria database: a relaxed Ba2Eu4Ir crystal (PBE).

Structure (CIF):
```
data_Ba2Eu4Ir
_cell_length_a 5.779
_cell_length_b 5.779
_cell_length_c 19.351
_cell_angle_alpha 90.00
_cell_angle_beta 90.00
_cell_angle_gamma 90.00
_space_group_name_H-M_alt 'I 4/m m m'
_space_group_IT_number 139
_space_group_name_Hall '-I 4 2'
loop_
_atom_site_label
_atom_site_type_symbol
_atom_site_fract_x
_atom_site_fract_y
_atom_site_fract_z
_atom_site_occupancy
Ba1 Ba 0.000 0.000 0.159 1
Eu1 Eu 0.000 0.000 0.371 1
Eu2 Eu 0.000 0.500 0.000 1
Ir1 Ir 0.000 0.000 0.000 1
```

Values from the calculation:
Mass density, g/cm³: 5.5
Uncorrected energy, eV/atom: -7.70
Energy of formation from the pure elements, meV/atom: -13